DFT (PBE-GGA) results for a relaxed MgAuSe2 crystal.

Values from the calculation:
DOS(E_F) ... 0.47 states/eV per atom
Raw total energy ... -0.114 Ha/atom
ΔE_f (raw) ... -0.6 eV/f.u.
Size of the total moment ... 0.00 μB/f.u.

Unit cell a=2.9580 b=2.9580 c=10.0311 alpha=90.00 beta=90.00 gamma=90.00
With the nearest neighbours (Å) after each atom.
Space group P4mm (No. 99)
Unique sites:
Mg (0.0000, 0.0000, 0.0000) (multiplicity 1)  4 Au 2.81, 4 Se 2.84, 4 Mg 2.96
Au (0.5000, 0.5000, 0.8125) (multiplicity 1)  4 Mg 2.81, 4 Au 2.96
Se (0.0000, 0.0000, 0.5714) (multiplicity 1)  4 Se 2.96, 4 Au 3.20
Se (0.5000, 0.5000, 0.1918) (multiplicity 1)  4 Mg 2.84, 4 Se 2.96

***

DFT (PBE-GGA) results for a relaxed MgAu2Se crystal.

Values from the calculation:
DOS(E_F) ... 0.12 states/eV per atom
Energy relative to the lowest polymorph listed for this composition ... 0.00 eV/f.u.
Raw total energy ... -0.122 Ha/atom
ΔE_f (raw) ... -1.6 eV/f.u.
Size of the total moment ... 0.00 μB/f.u.

Unit cell a=5.5224 b=5.5894 c=5.1912 alpha=90.00 beta=90.00 gamma=90.00
With the nearest neighbours (Å) after each atom.
Space group Cmmm (No. 65)
Unique sites:
Mg (0.0000, 0.0000, 0.0000) (multiplicity 2)  4 Se 2.76-2.79, 4 Au 2.93
Au (0.2450, 0.0000, 0.5000) (multiplicity 4)  4 Au 2.71-2.82, 2 Mg 2.93, 2 Se 2.95
Se (0.0000, 0.5000, 0.0000) (multiplicity 2)  4 Mg 2.76-2.79, 4 Au 2.95

***

DFT (PBE-GGA) results for a relaxed MgAuSe2 crystal.

Values from the calculation:
DOS(E_F) ... 0.60 states/eV per atom
Raw total energy ... -0.125 Ha/atom
ΔE_f (raw) ... -1.7 eV/f.u.
Size of the total moment ... 0.00 μB/f.u.

Unit cell a=3.9583 b=3.9583 c=23.1944 alpha=90.00 beta=90.00 gamma=120.00
With the nearest neighbours (Å) after each atom.
Space group R-3m (No. 166, hexagonal axes)
Unique sites:
Mg (0.0000, 0.0000, 0.0000) (multiplicity 3)  6 Se 2.72
Au (0.0000, 0.0000, 0.5000) (multiplicity 3)  2 Se 2.40
Se (0.0000, 0.0000, 0.3966) (multiplicity 6)  1 Au 2.40

***

DFT (PBE-GGA) results for a relaxed Mg2AuSe2 crystal.

Values from the calculation:
DOS(E_F) ... 0.44 states/eV per atom
Energy relative to the lowest polymorph listed for this composition ... 1.19 eV/f.u.
Raw total energy ... -0.109 Ha/atom
ΔE_f (raw) ... -1.4 eV/f.u.
Size of the total moment ... 0.00 μB/f.u.

Unit cell a=3.9622 b=3.9622 c=13.9488 alpha=90.00 beta=90.00 gamma=90.00
With the nearest neighbours (Å) after each atom.
Space group I4/mmm (No. 139)
Unique sites:
Mg (0.0000, 0.0000, 0.1030) (multiplicity 4)  4 Se 2.85, 1 Mg 2.87, 4 Au 3.15
Au (0.0000, 0.0000, 0.5000) (multiplicity 2)  8 Mg 3.15
Se (0.0000, 0.5000, 0.2500) (multiplicity 4)  4 Se 2.80, 4 Mg 2.85

***

DFT (PBE-GGA) results for a relaxed MgAu2Se crystal.

Values from the calculation:
DOS(E_F) ... 0.30 states/eV per atom
Energy relative to the lowest polymorph listed for this composition ... 0.22 eV/f.u.
Raw total energy ... -0.120 Ha/atom
ΔE_f (raw) ... -1.4 eV/f.u.
Size of the total moment ... 0.00 μB/f.u.

Unit cell a=3.8988 b=3.8988 c=21.2883 alpha=90.00 beta=90.00 gamma=90.00
With the nearest neighbours (Å) after each atom.
Space group I-42d (No. 122)
Unique sites:
Mg (0.0000, 0.0000, 0.0000) (multiplicity 4)  4 Se 2.76, 4 Au 2.99
Au (0.2471, 0.2500, 0.1250) (multiplicity 8)  4 Au 2.74-2.77, 2 Mg 2.99, 2 Se 3.00
Se (0.0000, 0.0000, 0.5000) (multiplicity 4)  4 Mg 2.76, 4 Au 3.00

***

DFT (PBE-GGA) results for a relaxed MgAu2Se crystal.

Values from the calculation:
DOS(E_F) ... 0.17 states/eV per atom
Energy relative to the lowest polymorph listed for this composition ... 0.75 eV/f.u.
Raw total energy ... -0.115 Ha/atom
ΔE_f (raw) ... -0.8 eV/f.u.
Size of the total moment ... 0.00 μB/f.u.

Unit cell a=4.2525 b=4.3914 c=8.2105 alpha=90.00 beta=90.00 gamma=90.00
With the nearest neighbours (Å) after each atom.
Space group Imm2 (No. 44)
Unique sites:
Mg (0.0000, 0.0000, 0.0000) (multiplicity 2)  4 Se 2.84-3.13, 8 Au 2.86-3.10
Au (0.0000, 0.0000, 0.5056) (multiplicity 2)  4 Se 2.86-3.11, 4 Au 2.94-3.02, 4 Mg 3.06
Au (0.0000, 0.5000, 0.2674) (multiplicity 2)  4 Mg 2.86-3.10, 4 Au 2.94-3.02, 4 Se 3.07
Se (0.0000, 0.5000, 0.7291) (multiplicity 2)  4 Mg 2.84-3.13, 8 Au 2.86-3.11

***

DFT (PBE-GGA) results for a relaxed MgAuSe2 crystal.

Values from the calculation:
DOS(E_F) ... 0.58 states/eV per atom
Raw total energy ... -0.125 Ha/atom
ΔE_f (raw) ... -1.8 eV/f.u.
Size of the total moment ... 0.00 μB/f.u.

Unit cell a=7.1565 b=4.0936 c=6.4197 alpha=90.00 beta=104.67 gamma=90.00
With the nearest neighbours (Å) after each atom.
Space group C2/m (No. 12)
Unique sites:
Mg (0.0000, 0.0000, 0.0000) (multiplicity 2)  6 Se 2.68-2.94
Au (0.0000, 0.5000, 0.5000) (multiplicity 2)  2 Se 2.48
Se (0.1910, 0.5000, 0.2266) (multiplicity 4)  1 Au 2.48, 2 Mg 2.68

***

DFT (PBE-GGA) results for a relaxed MgAuSe crystal.

Values from the calculation:
DOS(E_F) ... 0.51 states/eV per atom
Energy relative to the lowest polymorph listed for this composition ... 0.80 eV/f.u.
Raw total energy ... -0.115 Ha/atom
ΔE_f (raw) ... -1.0 eV/f.u.
Size of the total moment ... 0.00 μB/f.u.

Unit cell a=3.6410 b=3.6410 c=9.0221 alpha=90.00 beta=90.00 gamma=90.00
With the nearest neighbours (Å) after each atom.
Space group I4mm (No. 107)
Unique sites:
Mg (0.0000, 0.0000, 0.0000) (multiplicity 2)  4 Se 2.84, 5 Au 2.99
Au (0.0000, 0.0000, 0.6690) (multiplicity 2)  1 Se 2.71, 5 Mg 2.99
Se (0.0000, 0.0000, 0.3684) (multiplicity 2)  1 Au 2.71, 4 Mg 2.84

***

DFT (PBE-GGA) results for a relaxed MgAuSe2 crystal.

Values from the calculation:
DOS(E_F) ... 0.42 states/eV per atom
Raw total energy ... -0.130 Ha/atom
ΔE_f (raw) ... -2.3 eV/f.u.
Size of the total moment ... 0.00 μB/f.u.

Unit cell a=3.8858 b=3.8858 c=5.5360 alpha=90.00 beta=90.00 gamma=90.00
With the nearest neighbours (Å) after each atom.
Space group P4mm (No. 99)
Unique sites:
Mg (0.0000, 0.0000, 0.0000) (multiplicity 1)  6 Se 2.75-2.77
Au (0.5000, 0.5000, 0.5014) (multiplicity 1)  6 Se 2.75-2.77
Se (0.0000, 0.0000, 0.5010) (multiplicity 1)  4 Au 2.75, 2 Mg 2.76-2.77
Se (0.5000, 0.5000, 0.0015) (multiplicity 1)  4 Mg 2.75, 2 Au 2.77

***

DFT (PBE-GGA) results for a relaxed MgAuSe2 crystal.

Values from the calculation:
DOS(E_F) ... 1.23 states/eV per atom
Raw total energy ... -0.125 Ha/atom
ΔE_f (raw) ... -1.8 eV/f.u.
Size of the total moment ... 0.00 μB/f.u.

Unit cell a=5.9592 b=5.9592 c=12.1369 alpha=90.00 beta=90.00 gamma=90.00
With the nearest neighbours (Å) after each atom.
Space group I-42d (No. 122)
Unique sites:
Mg (0.0000, 0.0000, 0.0000) (multiplicity 4)  4 Se 2.60
Au (0.0000, 0.0000, 0.5000) (multiplicity 4)  4 Se 2.59
Se (0.2478, 0.2500, 0.6250) (multiplicity 8)  2 Au 2.59, 2 Mg 2.60

***

DFT (PBE-GGA) results for a relaxed MgAu2Se crystal.

Values from the calculation:
DOS(E_F) ... 0.20 states/eV per atom
Energy relative to the lowest polymorph listed for this composition ... 1.01 eV/f.u.
Raw total energy ... -0.112 Ha/atom
ΔE_f (raw) ... -0.6 eV/f.u.
Size of the total moment ... 0.00 μB/f.u.

Unit cell a=6.7460 b=6.7460 c=6.7460 alpha=90.00 beta=90.00 gamma=90.00
With the nearest neighbours (Å) after each atom.
Space group Fm-3m (No. 225)
Unique sites:
Mg (0.0000, 0.0000, 0.0000) (multiplicity 4)  8 Au 2.92
Au (0.2500, 0.2500, 0.2500) (multiplicity 8)  4 Se 2.92, 4 Mg 2.92
Se (0.0000, 0.0000, 0.5000) (multiplicity 4)  8 Au 2.92

***

DFT (PBE-GGA) results for a relaxed MgAuSe4 crystal.

Values from the calculation:
DOS(E_F) ... 0.26 states/eV per atom
Raw total energy ... -0.101 Ha/atom
ΔE_f (raw) ... 2.3 eV/f.u.
Size of the total moment ... 0.00 μB/f.u.

Unit cell a=8.0899 b=8.0899 c=8.0899 alpha=90.00 beta=90.00 gamma=90.00
With the nearest neighbours (Å) after each atom.
Space group F-43m (No. 216)
Unique sites:
Mg (0.0000, 0.0000, 0.0000) (multiplicity 4)  12 Se 3.36, 4 Au 3.50
Au (0.2500, 0.2500, 0.2500) (multiplicity 4)  12 Se 3.35, 4 Mg 3.50
Se (0.1241, 0.1241, 0.6241) (multiplicity 16)  6 Se 2.84-2.88